VASP calculation (PBE) on a relaxed structure of DyCuTePbSe2.

Summary:
Energy   -4.598 eV per atom
Total magnetization   0.00 μB/f.u.

a b c (Å): 7.3068 7.3068 11.0923
angles (deg): 90.00 90.00 147.34
Atoms (fractional coordinates):
Se  0.6333  0.3667  0.0687
Se  0.6333  0.3667  0.4313
Dy  0.0000  0.0000  0.5000
Se  0.3667  0.6333  0.9313
Pb  0.2191  0.7809  0.2500
Pb  0.7809  0.2191  0.7500
Dy  0.0000  0.0000  0.0000
Te  0.0926  0.9074  0.7500
Se  0.3667  0.6333  0.5687
Te  0.9074  0.0926  0.2500
Cu  0.5303  0.4697  0.2500
Cu  0.4697  0.5303  0.7500

=====

VASP calculation (PBE) on a relaxed structure of SrSi2Ag2.

Summary:
Energy   -3.935 eV per atom

a b c (Å): 6.1021 6.1021 6.1021
angles (deg): 137.83 137.83 61.17
Atoms (fractional coordinates):
Si  0.3891  0.3891  0.0000
Sr  0.0000  0.0000  0.0000
Si  0.6109  0.6109  0.0000
Ag  0.2500  0.7500  0.5000
Ag  0.7500  0.2500  0.5000

=====

VASP calculation (PBE) on a relaxed structure of Dy2Ho2I3NCl2.

Summary:
Energy   -4.986 eV per atom
Total magnetization   0.00 μB/f.u.

a b c (Å): 9.2017 9.2017 8.3190
angles (deg): 99.87 99.87 23.92
Atoms (fractional coordinates):
Ho  0.0021  0.0021  0.8113
Dy  0.3685  0.3685  0.9388
Cl  0.1486  0.1486  0.3014
Ho  0.9979  0.9979  0.1887
I  0.1740  0.1740  0.8032
Dy  0.6315  0.6315  0.0612
N  0.5000  0.5000  0.0000
I  0.8260  0.8260  0.1968
I  0.5000  0.5000  0.5000
Cl  0.8514  0.8514  0.6986